# RbMgNb2Fe PBE relaxed
data_RbMgNb2Fe
_space_group_name_H-M_alt 'P 4/m m m'
_space_group_IT_number 123
_space_group_name_Hall '-P 4 2'
_cell_length_a 4.672
_cell_length_b 4.672
_cell_length_c 6.026
_cell_angle_alpha 90.00
_cell_angle_beta 90.00
_cell_angle_gamma 90.00
loop_
_atom_site_label
_atom_site_type_symbol
_atom_site_fract_x
_atom_site_fract_y
_atom_site_fract_z
Rb1 Rb 0.000 0.000 0.000
Mg1 Mg 0.500 0.500 0.000
Nb1 Nb 0.000 0.500 0.500
Fe1 Fe 0.000 0.000 0.500
# * crystal system: tetragonal
# * electronic total energy: -24.74 eV per formula unit